Record 1
Cu6GeAu2: optimized geometry, PBE.

Output
VASP energy (eV per atom): -3.94
Total moment (μB/f.u.): 0.00
ρ (g cm⁻³): 11.02
D(E_F) (states/eV per cell): 2.86
Symmetry: P2/m (10)
Energy of formation (meV per atom): 36

Cell: 6.332 2.761 7.478 Å, 90.00 102.28 90.00°
Fractional positions:
Cu: 0.005 0.000 0.181
Cu: 0.311 0.500 0.408
Cu: 0.381 0.000 0.716
Cu: 0.619 0.000 0.284
Cu: 0.689 0.500 0.592
Cu: 0.995 0.000 0.819
Ge: 0.000 0.000 0.500
Au: 0.300 0.500 0.044
Au: 0.700 0.500 0.956


Record 2
DyPuThSc: optimized geometry, PBE.

Output
VASP energy (eV per atom): -7.99
Total moment (μB/f.u.): 7.47
ρ (g cm⁻³): 9.93
D(E_F) (states/eV per cell): 12.84
Symmetry: F-43m (216)
Energy of formation (meV per atom): 176

Cell: 5.447 5.447 5.447 Å, 60.00 60.00 60.00°
Fractional positions:
Dy: 0.000 0.000 0.000
Pu: 0.250 0.250 0.250
Th: 0.500 0.500 0.500
Sc: 0.750 0.750 0.750


Record 3
Ti3GaMo: optimized geometry, PBE.

Output
VASP energy (eV per atom): -7.76
Total moment (μB/f.u.): 0.00
ρ (g cm⁻³): 6.35
D(E_F) (states/eV per cell): 9.35
Symmetry: C2/m (12)
Energy of formation (meV per atom): -248

Cell: 7.128 7.128 5.528 Å, 93.28 93.28 35.24°
Fractional positions:
Ti: 0.001 0.001 0.244
Ti: 0.205 0.205 0.672
Ti: 0.388 0.388 0.029
Ti: 0.612 0.612 0.971
Ti: 0.795 0.795 0.328
Ti: 0.999 0.999 0.756
Ga: 0.397 0.397 0.524
Ga: 0.603 0.603 0.476
Mo: 0.194 0.194 0.166
Mo: 0.806 0.806 0.834


Record 4
TmMg5Ag2: optimized geometry, PBE.

Output
VASP energy (eV per atom): -2.42
Total moment (μB/f.u.): 0.00
ρ (g cm⁻³): 4.80
D(E_F) (states/eV per cell): 3.33
Symmetry: Immm (71)
Energy of formation (meV per atom): -151

Cell: 7.407 7.407 7.407 Å, 153.02 104.72 81.65°
Fractional positions:
Tm: 0.000 0.000 0.000
Mg: 0.147 0.360 0.788
Mg: 0.428 0.640 0.788
Mg: 0.500 0.000 0.500
Mg: 0.572 0.360 0.212
Mg: 0.853 0.640 0.212
Ag: 0.234 0.734 0.500
Ag: 0.766 0.266 0.500


> The lowest D(E_F) belongs to which entry?

Cu6GeAu2